1.
Er6In3Tc | PBE-GGA | optimized geometry

Results
The calculation puts the total energy at -98.07 eV for the cell shown. As for the crystal system: monoclinic. For the total magnetization, the calculation gives 0.0 μB per formula unit. The formation enthalpy at 0 K is -0.308 eV/atom.

Cell: 9.1756 5.2266 11.2936 Å, 90.00 107.72 90.00°
Space group P2_1/m (No. 11)
Asymmetric unit:
Er 0.0406 0.2500 0.4149 [2 per cell]
Er 0.1897 0.7500 0.1706 [2 per cell]
Er 0.2854 0.2500 0.0080 [2 per cell]
Er 0.3533 0.7500 0.8297 [2 per cell]
Er 0.3759 0.2500 0.3404 [2 per cell]
Er 0.3949 0.2500 0.6424 [2 per cell]
In 0.0173 0.7500 0.8824 [2 per cell]
In 0.1027 0.2500 0.7220 [2 per cell]
In 0.2742 0.7500 0.4760 [2 per cell]
Tc 0.4622 0.7500 0.1001 [2 per cell]


2.
Er8InTc2 | PBE-GGA | optimized geometry

Results
The calculation puts the total energy at -122.83 eV for the cell shown. As for the crystal system: monoclinic. As for the excess energy over the best structure of this formula in the dataset: 0.6 kJ per mole of atoms. For the total magnetization, the calculation gives 0.0 μB per formula unit. The formation enthalpy at 0 K is -0.131 eV/atom.

Cell: 8.6765 15.6271 5.2892 Å, 90.00 127.50 90.00°
Space group Cm (No. 8)
Asymmetric unit:
Er 0.0000 0.0000 0.0000 [2 per cell]
Er 0.0828 0.1702 0.5819 [4 per cell]
Er 0.1155 0.2914 0.1142 [4 per cell]
Er 0.2320 0.5000 0.2334 [2 per cell]
Er 0.4443 0.1098 0.4437 [4 per cell]
In 0.2963 0.0000 0.7959 [2 per cell]
Tc 0.3137 0.3354 0.8114 [4 per cell]


3.
Er6InTc2 | PBE-GGA | optimized geometry

Results
The calculation puts the total energy at -210.75 eV for the cell shown. As for the crystal system: orthorhombic. For the total magnetization, the calculation gives 0.0 μB per formula unit. The formation enthalpy at 0 K is -0.205 eV/atom.

Cell: 9.4628 9.4993 10.3111 Å, 90.00 90.00 90.00°
Space group Immm (No. 71)
Asymmetric unit:
Er 0.0000 0.2034 0.1804 [8 per cell]
Er 0.1899 0.2172 0.5000 [8 per cell]
Er 0.2129 0.5000 0.2622 [8 per cell]
In 0.0000 0.5000 0.0000 [2 per cell]
In 0.0000 0.5000 0.5000 [2 per cell]
Tc 0.0000 0.0000 0.3836 [4 per cell]
Tc 0.1357 0.0000 0.0000 [4 per cell]


4.
Er8InTc2 | PBE-GGA | optimized geometry

Results
The calculation puts the total energy at -122.96 eV for the cell shown. As for the crystal system: monoclinic. As for the excess energy over the best structure of this formula in the dataset: 0.0 kJ per mole of atoms. For the total magnetization, the calculation gives 0.0 μB per formula unit. The formation enthalpy at 0 K is -0.137 eV/atom.

Cell: 8.7736 13.0239 5.3953 Å, 90.00 104.07 90.00°
Space group C2/m (No. 12)
Asymmetric unit:
Er 0.0000 0.2468 0.0000 [4 per cell]
Er 0.1166 0.5000 0.8038 [4 per cell]
Er 0.1955 0.1341 0.5776 [8 per cell]
In 0.0000 0.0000 0.0000 [2 per cell]
Tc 0.0000 0.3176 0.5000 [4 per cell]